First-principles (PBE-GGA) data for a relaxed structure of Er2FeTe, as listed in the Alexandria database.

For the raw total energy, the calculation gives -4.940 eV/atom. Its total magnetization is 1.4 μB per formula unit. The energy relative to the elements, uncorrected comes out at 23.39 kJ/mol of atoms.

The structure belongs to space group R-3m (No. 166, hexagonal axes); the cell edges are 3.7656, 3.7656 and 27.3938 Å and the angles 90.00°, 90.00° and 120.00°. The inequivalent atoms are Er at (0.0000, 0.0000, 0.0899), Fe at (0.0000, 0.0000, 0.0000) and Te at (0.0000, 0.0000, 0.5000).



First-principles (PBE-GGA) data for a relaxed structure of Fe2HgRu, as listed in the Alexandria database.

For the raw total energy, the calculation gives -6.146 eV/atom. Its total magnetization is 6.5 μB per formula unit.

The structure belongs to space group F-43m (No. 216); the cell edges are 6.212, 6.212 and 6.212 Å and the angles 90.00°, 90.00° and 90.00°. The inequivalent atoms are Fe at (0.000, 0.000, 0.000), Fe at (0.250, 0.250, 0.250), Hg at (0.000, 0.000, 0.500) and Ru at (0.250, 0.250, 0.750).